# Fe2Br3O

A relaxed structure of Fe2Br3O (PBE with a Hubbard U, the Alexandria database).

Geometry as POSCAR:
```
Fe2Br3O
1.0
9.228 -1.737 0.000
9.228 1.737 0.000
-3.798 0.000 9.820
Fe Br O
4 6 2
Direct
0.074 0.074 0.239
0.419 0.419 0.032
0.581 0.581 0.968
0.926 0.926 0.761
0.071 0.071 0.765
0.185 0.185 0.134
0.367 0.367 0.570
0.633 0.633 0.430
0.815 0.815 0.866
0.929 0.929 0.235
0.459 0.459 0.869
0.541 0.541 0.131
```

# FeBr3O

A relaxed structure of FeBr3O (PBE with a Hubbard U, the Alexandria database).

Geometry as POSCAR:
```
FeBr3O
1.0
4.762 0.000 0.000
0.000 4.762 0.000
0.000 0.000 4.762
Fe Br O
1 3 1
Direct
0.000 0.000 0.000
0.000 0.500 0.500
0.500 0.000 0.500
0.500 0.500 0.000
0.500 0.500 0.500
```

- Polymorph energy (0 for the lowest one): 353 meV per atom

# Fe3BrO

A relaxed structure of Fe3BrO (PBE with a Hubbard U, the Alexandria database).

Geometry as POSCAR:
```
Fe3BrO
1.0
4.353 0.000 0.000
0.000 4.353 0.000
0.000 0.000 4.353
Fe Br O
3 1 1
Direct
0.000 0.000 0.500
0.000 0.500 0.000
0.500 0.000 0.000
0.500 0.500 0.500
0.000 0.000 0.000
```

- Polymorph energy (0 for the lowest one): 0 meV per atom

# FeBr3O

A relaxed structure of FeBr3O (PBE with a Hubbard U, the Alexandria database).

Geometry as POSCAR:
```
FeBr3O
1.0
5.014 0.000 0.000
0.000 5.014 0.000
0.000 0.000 5.014
Fe Br O
1 3 1
Direct
0.000 0.000 0.000
0.000 0.000 0.500
0.000 0.500 0.000
0.500 0.000 0.000
0.500 0.500 0.500
```

- Polymorph energy (0 for the lowest one): 0 meV per atom

# FeBrO3

A relaxed structure of FeBrO3 (PBE with a Hubbard U, the Alexandria database).

Geometry as POSCAR:
```
FeBrO3
1.0
3.940 0.000 0.000
0.000 3.940 0.000
0.000 0.000 3.940
Fe Br O
1 1 3
Direct
0.000 0.000 0.000
0.500 0.500 0.500
0.000 0.500 0.500
0.500 0.000 0.500
0.500 0.500 0.000
```

# Fe3Br8O16

A relaxed structure of Fe3Br8O16 (PBE with a Hubbard U, the Alexandria database).

Geometry as POSCAR:
```
Fe3Br8O16
1.0
7.151 0.000 0.000
2.373 7.283 0.000
3.349 1.908 8.943
Fe Br O
3 8 16
Direct
0.000 0.000 0.000
0.000 0.500 0.500
0.500 0.000 0.000
0.044 0.195 0.294
0.238 0.643 0.154
0.392 0.393 0.669
0.443 0.866 0.727
0.557 0.134 0.273
0.608 0.607 0.331
0.762 0.357 0.846
0.956 0.805 0.706
0.148 0.277 0.403
0.163 0.374 0.657
0.175 0.886 0.827
0.205 0.649 0.342
0.206 0.073 0.029
0.396 0.624 0.602
0.471 0.700 0.061
0.487 0.965 0.225
0.513 0.035 0.775
0.529 0.300 0.939
0.604 0.376 0.398
0.794 0.927 0.971
0.795 0.351 0.658
0.825 0.114 0.173
0.837 0.626 0.343
0.852 0.723 0.597
```

What VASP energy values result from the calculations? In sequence: -4.3463; -2.3363; -4.5295; -2.6888; -3.8485; -4.1161 eV per atom.